The following is a PBE calculation of a geometry-optimized BaInPtO4 structure, from Alexandria.

**Energy**: -5.704 eV/atom
**D(E_F)**: 2.1 states/eV per cell
**Total magnetic moment**: 1.01 μB/f.u.
**Uncorrected formation energy**: -30.95 kcal/mol of atoms

```
BaInPtO4
1.0
6.561 0.000 0.000
-3.280 6.264 -0.042
0.000 -3.419 5.623
In O Pt Ba
2 8 2 2
Direct
0.500 0.000 0.500
0.500 0.000 0.000
0.268 0.969 0.734
0.282 0.564 0.338
0.300 0.031 0.266
0.718 0.436 0.274
0.700 0.969 0.734
0.732 0.031 0.266
0.718 0.436 0.662
0.282 0.564 0.726
0.500 0.500 0.500
0.000 0.500 0.500
0.866 0.732 0.116
0.134 0.268 0.884
```